Entry 1:
{"formula": "HoCu8Au3", "functional": "PBE", "state": "relaxed", "lattice_angstrom": [[-4.2870, -2.4493, -0.7230], [2.3468, -0.3210, 4.3920], [-4.1271, 6.4339, 2.6755]], "species": ["Cu", "Cu", "Cu", "Cu", "Cu", "Cu", "Cu", "Cu", "Au", "Au", "Au", "Ho"], "frac_coords": [[0.1652, 0.3304, 0.2444], [0.6696, 0.8348, 0.2444], [0.5024, 0.4976, 0.7561], [0.3333, 0.6667, 0.9976], [0.1652, 0.8348, 0.2444], [0.3333, 0.6667, 0.4984], [0.9952, 0.4976, 0.7561], [0.5024, 0.0048, 0.7561], [0.6667, 0.3333, 0.4382], [0.0000, 0.0000, 0.9379], [0.6667, 0.3333, 0.0638], [0.0000, 0.0000, 0.5627]], "density_g_cm3": 12.02, "crystal_system": "trigonal", "m_tot_mub_per_fu": 0.00, "e_form_ev_per_atom": -0.154}

Entry 2:
{"formula": "CeDyRh2", "functional": "PBE", "state": "relaxed", "lattice_angstrom": [[-0.3379, 3.9725, -3.8582], [3.4706, -2.9887, -3.3812], [-9.9237, -4.1303, -3.3834]], "species": ["Dy", "Dy", "Dy", "Dy", "Ce", "Ce", "Ce", "Ce", "Rh", "Rh", "Rh", "Rh", "Rh", "Rh", "Rh", "Rh"], "frac_coords": [[0.2496, 0.5514, 0.6086], [0.2496, 0.9486, 0.8914], [0.7504, 0.0514, 0.1086], [0.7504, 0.4486, 0.3914], [0.2501, 0.9705, 0.3884], [0.2501, 0.5295, 0.1116], [0.7499, 0.4705, 0.8884], [0.7499, 0.0295, 0.6116], [0.7500, 0.5654, 0.1438], [0.2506, 0.0412, 0.1535], [0.2500, 0.0654, 0.6438], [0.7494, 0.5412, 0.6535], [0.7500, 0.9346, 0.3562], [0.2506, 0.4588, 0.3465], [0.7494, 0.9588, 0.8465], [0.2500, 0.4346, 0.8562]], "density_g_cm3": 9.62, "crystal_system": "monoclinic", "m_tot_mub_per_fu": 0.00, "e_form_ev_per_atom": -0.720}

Entry 3:
{"formula": "DyMg2Zr", "functional": "PBE", "state": "relaxed", "lattice_angstrom": [[5.1580, 0.0000, 0.0000], [2.5790, 4.4670, 0.0000], [2.5790, 1.4890, 4.2115]], "species": ["Mg", "Mg", "Zr", "Dy"], "frac_coords": [[0.2500, 0.2500, 0.2500], [0.7500, 0.7500, 0.7500], [0.5000, 0.5000, 0.5000], [0.0000, 0.0000, 0.0000]], "density_g_cm3": 5.17, "crystal_system": "cubic", "m_tot_mub_per_fu": 0.00, "e_form_ev_per_atom": 0.044}

Entry 4:
{"formula": "CrRe2Cl", "functional": "PBE", "state": "relaxed", "lattice_angstrom": [[-5.7136, -1.1524, 0.4126], [-3.7333, -1.5345, -4.2251], [5.2457, -1.0941, 2.3300]], "species": ["Cl", "Cr", "Re", "Re"], "frac_coords": [[0.2500, 0.7500, 0.5000], [0.7500, 0.2500, 0.5000], [0.0000, 0.0000, 0.0000], [0.5000, 0.5000, 0.0000]], "density_g_cm3": 11.34, "crystal_system": "tetragonal", "m_tot_mub_per_fu": 2.57, "formation_energy_uncorrected_ev_per_atom": 1.110}

Entry 5:
{"formula": "NaTcH2Os", "functional": "PBE", "state": "relaxed", "lattice_angstrom": [[3.7584, 0.0000, 0.0000], [0.0000, 4.7714, 0.0000], [0.0000, 0.0000, 3.7584]], "species": ["H", "H", "Na", "Os", "Tc"], "frac_coords": [[0.0000, 0.0000, 0.5000], [0.5000, 0.0000, 0.0000], [0.5000, 0.5000, 0.5000], [0.0000, 0.0000, 0.0000], [0.0000, 0.5000, 0.0000]], "density_g_cm3": 7.72, "crystal_system": "tetragonal", "m_tot_mub_per_fu": 0.94, "energy_ev_per_cell": -24.28}

Entry 6:
{"formula": "SnTeAu2", "functional": "PBE", "state": "relaxed", "lattice_angstrom": [[-3.7337, -0.3500, -4.9016], [1.8270, -2.4963, 8.1248], [-3.8510, 5.4598, 2.5435]], "species": ["Au", "Au", "Au", "Au", "Te", "Te", "Sn", "Sn"], "frac_coords": [[0.5473, 0.7744, 0.4466], [0.4527, 0.2256, 0.5534], [0.5473, 0.7744, 0.0534], [0.4527, 0.2256, 0.9466], [0.5398, 0.9752, 0.7500], [0.4602, 0.0248, 0.2500], [0.5325, 0.4803, 0.2500], [0.4675, 0.5197, 0.7500]], "density_g_cm3": 10.62, "crystal_system": "monoclinic", "m_tot_mub_per_fu": 0.00, "formation_energy_uncorrected_ev_per_atom": -0.076}